This record from the Alexandria database describes NaPrTe2 after structural relaxation. The functional is PBE.

Cell lengths 3.9443, 3.9443, 8.0902 Å; angles 90.00, 90.00, 90.00 degrees
With the nearest neighbours (Å) after each atom.
Fractional positions:
Te (0.0000, 0.0000, 0.7676)  4 Pr 3.36, 4 Na 3.53, 1 Te 3.76
Te (0.0000, 0.0000, 0.2324)  4 Pr 3.36, 4 Na 3.53, 1 Te 3.76
Pr (0.5000, 0.5000, 0.0000)  8 Te 3.36
Na (0.5000, 0.5000, 0.5000)  8 Te 3.53, 4 Na 3.94

## Properties
crystal system	tetragonal
space group	P4/mmm
total magnetic moment	0.0	μB/cell
uncorrected formation energy	-1.124	eV/atom